Record 1
BaY2Ru: relaxed, PBE-GGA.

For the formation energy, the calculation gives 85.1 meV per atom.

a = 6.2260 Å, b = 6.2260 Å, c = 6.7843 Å
α = 118.12°, β = 118.12°, γ = 36.06°
With the nearest neighbours (Å) after each atom.
Fractional coordinates of all 4 atoms:
Ba 0.0000 0.0000 0.0000  3 Ru 3.39-3.63, 1 Y 3.78
Y 0.1781 0.1781 0.6664  2 Ru 2.69
Y 0.3676 0.3676 0.3790  2 Ru 2.75
Ru 0.7197 0.7197 0.4323  4 Y 2.69-2.75

Record 2
BaY3Ru: relaxed, PBE-GGA.

For the formation energy, the calculation gives -167.4 meV per atom.

a = 6.2065 Å, b = 7.9752 Å, c = 6.7419 Å
α = 90.00°, β = 90.00°, γ = 90.00°
With the nearest neighbours (Å) after each atom.
Fractional coordinates of all 10 atoms:
Ba 0.2500 0.0000 0.1880  10 Y 3.85-4.03, 2 Ba 4.01
Ba 0.7500 0.0000 0.8120  10 Y 3.85-4.03, 2 Ba 4.01
Y 0.2500 0.2609 0.6754  2 Ru 2.73
Y 0.2500 0.5000 0.1576  2 Ru 2.78
Y 0.2500 0.7391 0.6754  2 Ru 2.73
Y 0.7500 0.2609 0.3246  2 Ru 2.73
Y 0.7500 0.5000 0.8424  2 Ru 2.78
Y 0.7500 0.7391 0.3246  2 Ru 2.73
Ru 0.0000 0.5000 0.5000  6 Y 2.73-2.78
Ru 0.5000 0.5000 0.5000  6 Y 2.73-2.78

Record 3
BaY2Ru: relaxed, PBE-GGA.

For the formation energy, the calculation gives -51.0 meV per atom.

a = 9.6868 Å, b = 9.6868 Å, c = 9.6868 Å
α = 24.94°, β = 24.94°, γ = 24.94°
With the nearest neighbours (Å) after each atom.
Fractional coordinates of all 4 atoms:
Ba 0.0000 0.0000 0.0000  6 Y 4.13, 6 Ba 4.18
Y 0.2144 0.2144 0.2144  3 Ru 2.76
Y 0.7856 0.7856 0.7856  3 Ru 2.76
Ru 0.5000 0.5000 0.5000  6 Y 2.76

Record 4
BaYRu: relaxed, PBE-GGA.

For the formation energy, the calculation gives 1177.7 meV per atom.

a = 4.9144 Å, b = 4.9144 Å, c = 4.9144 Å
α = 60.00°, β = 60.00°, γ = 60.00°
With the nearest neighbours (Å) after each atom.
Fractional coordinates of all 3 atoms:
Ba 0.0000 0.0000 0.0000  4 Ru 3.01, 4 Y 3.01
Y 0.7500 0.7500 0.7500  4 Ba 3.01
Ru 0.2500 0.2500 0.2500  4 Ba 3.01

Energy above the lowest structure with this stoichiometry: 210; 0; 74; 1081 (meV per atom)
Total energy: -5.95; -6.29; -6.08; -4.71 (eV per atom)